Record 1
First-principles (PBE+U) data for a geometry-optimized Li6Mn3P8O29 structure, as listed in Alexandria.

Cell and atoms, written as POSCAR:
```
Li6Mn3P8O29
1.0
9.7611 0.0141 0.0240
4.8746 8.4758 0.0024
0.0404 -0.0164 13.9518
Li Mn P O
12 6 16 58
Direct
0.9063 0.7768 0.5619
0.3227 0.9046 0.5600
0.7763 0.9028 0.0593
0.7713 0.3288 0.5620
0.0904 0.6858 0.9390
0.9073 0.3287 0.0597
0.2292 0.6763 0.4345
0.0953 0.2283 0.4393
0.3351 0.3372 0.1159
0.2220 0.0863 0.9362
0.6838 0.2282 0.9373
0.6778 0.0979 0.4403
0.4323 0.0033 0.7497
0.5709 0.0016 0.2493
0.4329 0.5717 0.2469
0.5651 0.4379 0.7520
0.0012 0.5711 0.7498
0.0022 0.4330 0.2519
0.3265 0.9119 0.3379
0.3154 0.7741 0.8360
0.7650 0.9128 0.8400
0.6712 0.6655 0.1284
0.6679 0.6693 0.6283
0.9108 0.7673 0.3407
0.0956 0.6756 0.1595
0.7645 0.3286 0.3411
0.2385 0.6752 0.6544
0.9084 0.3305 0.8400
0.0912 0.2383 0.6591
0.3326 0.3357 0.8736
0.3350 0.3368 0.3739
0.2362 0.0940 0.1567
0.6801 0.2341 0.1588
0.6755 0.0954 0.6601
0.2176 0.0033 0.2474
0.2468 0.0130 0.0649
0.3341 0.9230 0.8373
0.2214 0.7970 0.7363
0.2526 0.7437 0.5605
0.3346 0.7495 0.3371
0.4908 0.8931 0.3210
0.5105 0.8206 0.6618
0.6198 0.8944 0.8222
0.7550 0.0065 0.5694
0.7870 0.0040 0.7504
0.7484 0.9219 0.3394
0.5174 0.6733 0.1655
0.4800 0.6241 0.8254
0.6759 0.8182 0.1591
0.6828 0.6553 0.0201
0.6702 0.6643 0.5204
0.8174 0.6777 0.6628
0.6191 0.4901 0.3223
0.6738 0.5143 0.6661
0.9183 0.7497 0.8397
0.0045 0.7852 0.2504
0.0022 0.7495 0.0703
0.9977 0.7590 0.4313
0.8917 0.6230 0.3230
0.8222 0.5103 0.1645
0.0831 0.6684 0.6585
0.8900 0.4939 0.8218
0.7448 0.3408 0.8411
0.2172 0.7768 0.9183
0.7573 0.2482 0.0688
0.7864 0.2162 0.2501
0.2591 0.6621 0.1577
0.1209 0.5068 0.1780
0.9193 0.3364 0.3410
0.1844 0.4926 0.8387
0.1103 0.3830 0.6773
0.0023 0.2490 0.5688
0.9966 0.2524 0.9304
0.9993 0.2181 0.7496
0.0825 0.2585 0.1603
0.3244 0.4933 0.3352
0.3805 0.5119 0.6778
0.1868 0.3261 0.3396
0.3323 0.3362 0.9822
0.3364 0.3393 0.4819
0.3240 0.1878 0.8380
0.5103 0.3752 0.1753
0.4906 0.3263 0.8383
0.2542 0.0848 0.6583
0.2471 0.9990 0.4290
0.3784 0.1213 0.1765
0.4923 0.1880 0.3380
0.5119 0.1135 0.6778
0.6671 0.2578 0.6609
0.7553 0.2497 0.4317
0.6702 0.0809 0.1575
0.7547 0.0001 0.9313
```

V (Å³/cell): 1153
Space-group type: P1 (1)
Calculated density (Mg/m³): 2.644
Magnetization (μB per formula unit): 8.97
VASP energy (eV for the cell shown): -632.7

=====

Record 2
First-principles (PBE+U) data for a geometry-optimized LiMnPO2 structure, as listed in Alexandria.

Cell and atoms, written as POSCAR:
```
LiMnPO2
1.0
3.7197 0.0000 0.0000
0.0000 3.7197 0.0000
0.0000 0.0000 4.4775
P Mn O Li
1 1 2 1
Direct
0.0000 0.0000 0.5000
0.5000 0.5000 0.5000
0.0000 0.5000 0.0000
0.5000 0.0000 0.0000
0.0000 0.0000 0.0000
```

V (Å³/cell): 62
Distance to the lowest polymorph of the same formula (eV/atom): 0.481
Space-group type: P4/mmm (123)
Calculated density (Mg/m³): 3.347
Magnetization (μB per formula unit): 2.69
VASP energy (eV for the cell shown): -24.3

=====

Record 3
First-principles (PBE+U) data for a geometry-optimized Li2Mn2P3O12 structure, as listed in Alexandria.

Cell and atoms, written as POSCAR:
```
Li2Mn2P3O12
1.0
9.1281 0.0093 0.0234
-0.2694 8.3180 0.0367
3.9334 4.1704 6.0247
Li Mn P O
4 4 6 24
Direct
0.8602 0.2490 0.8287
0.8602 0.9286 0.4080
0.1398 0.0714 0.5920
0.1398 0.7510 0.1713
0.9567 0.6470 0.7012
0.4331 0.1482 0.7101
0.5669 0.8518 0.2899
0.0433 0.3530 0.2988
0.7496 0.9555 0.7919
0.7565 0.5346 0.5101
0.7466 0.2558 0.2188
0.2534 0.7442 0.7812
0.2435 0.4654 0.4899
0.2504 0.0445 0.2081
0.9118 0.1620 0.6238
0.7958 0.4913 0.6897
0.8128 0.8220 0.7106
0.9163 0.5318 0.3171
0.8805 0.2070 0.2905
0.7545 0.7427 0.3906
0.5854 0.9800 0.7980
0.5817 0.3800 0.6293
0.8139 0.4712 0.0231
0.7356 0.1158 0.1495
0.5648 0.2111 0.4135
0.7375 0.8885 0.0081
0.2625 0.1115 0.9919
0.4352 0.7889 0.5865
0.2644 0.8842 0.8505
0.1861 0.5288 0.9769
0.4183 0.6200 0.3707
0.4146 0.0200 0.2020
0.2455 0.2573 0.6094
0.1195 0.7930 0.7095
0.0837 0.4682 0.6829
0.1872 0.1780 0.2894
0.2042 0.5087 0.3103
0.0882 0.8380 0.3762
```

V (Å³/cell): 455
Distance to the lowest polymorph of the same formula (eV/atom): 0.000
Space-group type: P-1 (2)
Calculated density (Mg/m³): 2.981
Magnetization (μB per formula unit): 7.00
VASP energy (eV for the cell shown): -266.1

=====

Record 4
First-principles (PBE+U) data for a geometry-optimized LiMnP2O7 structure, as listed in Alexandria.

Cell and atoms, written as POSCAR:
```
LiMnP2O7
1.0
2.5100 7.7082 0.1204
-2.5100 7.7082 0.1204
0.0000 3.3037 8.2045
Li Mn P O
2 2 4 14
Direct
0.5079 0.9030 0.9346
0.9030 0.5079 0.4346
0.3890 0.6008 0.0408
0.6008 0.3890 0.5408
0.9340 0.2651 0.1759
0.2651 0.9340 0.6759
0.0577 0.7368 0.8111
0.7368 0.0577 0.3111
0.8506 0.3402 0.3493
0.5181 0.6707 0.5813
0.1927 0.1654 0.0857
0.8524 0.7897 0.3298
0.7897 0.8524 0.8298
0.0044 0.9958 0.7083
0.1449 0.6611 0.9753
0.1654 0.1927 0.5857
0.6611 0.1449 0.4753
0.6707 0.5181 0.0813
0.3057 0.4944 0.7038
0.9958 0.0044 0.2083
0.4944 0.3057 0.2038
0.3402 0.8506 0.8493
```

V (Å³/cell): 315
Distance to the lowest polymorph of the same formula (eV/atom): 0.052
Space-group type: Cc (9)
Calculated density (Mg/m³): 2.483
Magnetization (μB per formula unit): 3.99
VASP energy (eV for the cell shown): -155.5

=====

Record 5
First-principles (PBE+U) data for a geometry-optimized Li3MnP2O8 structure, as listed in Alexandria.

Cell and atoms, written as POSCAR:
```
Li3MnP2O8
1.0
-5.1148 3.6935 -3.9743
-5.7942 -2.6588 5.1764
4.9980 6.6253 2.4226
Li Mn P O
9 3 6 24
Direct
0.2924 0.6824 0.0062
0.3252 0.3427 0.3522
0.5000 0.0000 0.0000
0.5803 0.3310 0.6448
0.6464 0.0047 0.3179
0.3536 0.9953 0.6821
0.4197 0.6690 0.3552
0.6748 0.6573 0.6478
0.7076 0.3176 0.9938
0.0000 0.0000 0.0000
0.9873 0.3203 0.6470
0.0127 0.6797 0.3530
0.2727 0.6334 0.6701
0.2221 0.0229 0.3447
0.2644 0.3013 0.9760
0.7356 0.6987 0.0240
0.7779 0.9771 0.6553
0.7273 0.3666 0.3299
0.8174 0.7922 0.9231
0.4480 0.5377 0.6591
0.1407 0.5547 0.7486
0.7283 0.4874 0.9030
0.8043 0.4182 0.5317
0.7013 0.1552 0.2067
0.1409 0.2310 0.7858
0.0884 0.1701 0.4105
0.1700 0.9104 0.1329
0.4189 0.1180 0.4046
0.4478 0.2223 0.9345
0.7839 0.1240 0.5873
0.2161 0.8760 0.4127
0.5522 0.7777 0.0655
0.5811 0.8820 0.5954
0.8300 0.0896 0.8671
0.9116 0.8299 0.5895
0.8591 0.7690 0.2142
0.2987 0.8448 0.7933
0.1957 0.5818 0.4683
0.2717 0.5126 0.0970
0.8593 0.4453 0.2514
0.5520 0.4623 0.3409
0.1826 0.2078 0.0769
```

V (Å³/cell): 456
Distance to the lowest polymorph of the same formula (eV/atom): 0.008
Space-group type: P-1 (2)
Calculated density (Mg/m³): 2.906
Magnetization (μB per formula unit): 3.96
VASP energy (eV for the cell shown): -283.2

=====

Record 6
First-principles (PBE+U) data for a geometry-optimized Li2MnP2O8 structure, as listed in Alexandria.

Cell and atoms, written as POSCAR:
```
Li2MnP2O8
1.0
4.8168 0.0057 -0.0325
0.0024 8.2750 -0.0358
-2.2136 -3.9170 7.6198
Li Mn P O
4 2 4 16
Direct
0.1005 0.9201 0.6843
0.3050 0.5698 0.3953
0.6950 0.4302 0.6047
0.8995 0.0799 0.3157
0.2690 0.7603 0.0280
0.7310 0.2397 0.9720
0.1346 0.3164 0.7676
0.3292 0.1957 0.1983
0.6708 0.8043 0.8017
0.8654 0.6836 0.2324
0.0097 0.8398 0.8726
0.0668 0.5156 0.8644
0.0061 0.7500 0.4287
0.0072 0.8111 0.1754
0.4673 0.3058 0.8084
0.5467 0.9864 0.8233
0.5343 0.7156 0.8918
0.6008 0.6720 0.6078
0.3992 0.3280 0.3922
0.4657 0.2844 0.1082
0.4533 0.0136 0.1767
0.5327 0.6942 0.1916
0.9928 0.1889 0.8246
0.9939 0.2500 0.5713
0.9332 0.4844 0.1356
0.9903 0.1602 0.1274
```

V (Å³/cell): 302
Distance to the lowest polymorph of the same formula (eV/atom): 0.035
Space-group type: P-1 (2)
Calculated density (Mg/m³): 2.841
Magnetization (μB per formula unit): 2.96
VASP energy (eV for the cell shown): -176.3

=====

Record 7
First-principles (PBE+U) data for a geometry-optimized Li2Mn2P3O12 structure, as listed in Alexandria.

Cell and atoms, written as POSCAR:
```
Li2Mn2P3O12
1.0
8.5402 0.0000 0.0000
0.0000 8.8489 0.0000
0.0000 0.0000 12.0377
Li Mn P O
8 8 12 48
Direct
0.2161 0.7231 0.1852
0.2161 0.7769 0.8148
0.2839 0.2231 0.3148
0.2839 0.2769 0.6852
0.7161 0.7231 0.3148
0.7161 0.7769 0.6852
0.7839 0.2231 0.1852
0.7839 0.2769 0.8148
0.2494 0.9665 0.6114
0.2494 0.5335 0.3886
0.2506 0.0335 0.1114
0.2506 0.4665 0.8886
0.7494 0.5335 0.1114
0.7494 0.9665 0.8886
0.7506 0.0335 0.3886
0.7506 0.4665 0.6114
0.0329 0.2500 0.5000
0.4671 0.7500 0.0000
0.5329 0.2500 0.0000
0.9671 0.7500 0.5000
0.1055 0.3994 0.1478
0.1055 0.1006 0.8522
0.3945 0.6006 0.6478
0.3945 0.8994 0.3522
0.6055 0.1006 0.6478
0.6055 0.3994 0.3522
0.8945 0.6006 0.8522
0.8945 0.8994 0.1478
0.0615 0.6364 0.4306
0.0615 0.8636 0.5694
0.0767 0.8985 0.1576
0.0767 0.6015 0.8424
0.1384 0.1699 0.5867
0.1384 0.3301 0.4133
0.1556 0.4530 0.0320
0.1556 0.0470 0.9680
0.1601 0.2382 0.1762
0.1601 0.2618 0.8238
0.1753 0.5180 0.2300
0.1753 0.9820 0.7700
0.3247 0.0180 0.2700
0.3247 0.4820 0.7300
0.3399 0.7618 0.6762
0.3399 0.7382 0.3238
0.3444 0.5470 0.5320
0.3444 0.9530 0.4680
0.3616 0.8301 0.0867
0.3616 0.6699 0.9133
0.4233 0.1015 0.6576
0.4233 0.3985 0.3424
0.4385 0.1364 0.0694
0.4385 0.3636 0.9306
0.5615 0.6364 0.0694
0.5615 0.8636 0.9306
0.5767 0.6015 0.6576
0.5767 0.8985 0.3424
0.6384 0.3301 0.0867
0.6384 0.1699 0.9133
0.6556 0.0470 0.5320
0.6556 0.4530 0.4680
0.6601 0.2382 0.3238
0.6601 0.2618 0.6762
0.6753 0.5180 0.2700
0.6753 0.9820 0.7300
0.8247 0.0180 0.2300
0.8247 0.4820 0.7700
0.8399 0.7382 0.1762
0.8399 0.7618 0.8238
0.8444 0.5470 0.9680
0.8444 0.9530 0.0320
0.8616 0.6699 0.5867
0.8616 0.8301 0.4133
0.9233 0.1015 0.8424
0.9233 0.3985 0.1576
0.9385 0.1364 0.4306
0.9385 0.3636 0.5694
```

V (Å³/cell): 910
Distance to the lowest polymorph of the same formula (eV/atom): 0.004
Space-group type: Pbcn (60)
Calculated density (Mg/m³): 2.984
Magnetization (μB per formula unit): 6.99
VASP energy (eV for the cell shown): -531.8

=====

Record 8
First-principles (PBE+U) data for a geometry-optimized LiMn2P4O14 structure, as listed in Alexandria.

Cell and atoms, written as POSCAR:
```
LiMn2P4O14
1.0
5.2082 -0.0554 -0.0591
-1.5857 6.0693 0.0624
-1.7270 -1.9799 8.9265
Li Mn P O
1 2 4 14
Direct
0.4926 0.5764 0.8186
0.2175 0.7634 0.3491
0.7538 0.2384 0.6449
0.0911 0.2403 0.3706
0.3017 0.1410 0.8430
0.7044 0.8596 0.1503
0.8704 0.7626 0.6101
0.2668 0.4687 0.3546
0.2788 0.0939 0.4165
0.5883 0.2249 0.8116
0.9029 0.7174 0.1667
0.5786 0.8253 0.9836
0.9474 0.7009 0.4643
0.1525 0.8931 0.7321
0.8920 0.1229 0.2086
0.9129 0.2650 0.4800
0.3172 0.1129 0.0024
0.1447 0.3052 0.7955
0.5033 0.8229 0.2487
0.6744 0.9087 0.6032
0.7311 0.5537 0.6679
```

V (Å³/cell): 281
Space-group type: P1 (1)
Calculated density (Mg/m³): 2.744
Magnetization (μB per formula unit): 6.98
VASP energy (eV for the cell shown): -148.8

=====

Record 9
First-principles (PBE+U) data for a geometry-optimized Li3MnP2O8 structure, as listed in Alexandria.

Cell and atoms, written as POSCAR:
```
Li3MnP2O8
1.0
4.7250 0.0000 0.0000
-2.3625 4.4868 -0.0015
0.0000 -2.3205 13.7166
Li Mn P O
6 2 4 16
Direct
0.0128 0.0000 0.7500
0.9872 0.0000 0.2500
0.6718 0.3338 0.6651
0.6620 0.3338 0.1651
0.3380 0.6662 0.8349
0.3282 0.6662 0.3349
0.0000 0.0000 0.5000
0.0000 0.0000 0.0000
0.6502 0.3139 0.8832
0.6637 0.3139 0.3832
0.3363 0.6861 0.6168
0.3498 0.6861 0.1168
0.7722 0.0775 0.8589
0.3053 0.0775 0.3589
0.6947 0.9225 0.6411
0.2278 0.9225 0.1411
0.4298 0.2206 0.9675
0.7908 0.2206 0.4675
0.2092 0.7794 0.5325
0.5702 0.7794 0.0325
0.4670 0.3348 0.7948
0.8678 0.3348 0.2948
0.1322 0.6652 0.7052
0.5330 0.6652 0.2052
0.3243 0.3698 0.5846
0.0455 0.3698 0.0846
0.9545 0.6302 0.9154
0.6757 0.6302 0.4154
```

V (Å³/cell): 291
Distance to the lowest polymorph of the same formula (eV/atom): 0.001
Space-group type: C2/c (15)
Calculated density (Mg/m³): 3.035
Magnetization (μB per formula unit): 4.00
VASP energy (eV for the cell shown): -189.0